HgMo2Pt: optimized geometry, GGA-PBE.

For the formation energy, the calculation gives 0.579 eV/atom. As for the crystal system: cubic. As for the total DFT energy (no corrections): -6.4220 eV per atom.

The space group is Fm-3m (No. 225) and the conventional cell measures 6.481, 6.481 and 6.481 Å, with angles of 90.00, 90.00 and 90.00 degrees. Symmetry generates all atoms from Hg at (0.000, 0.000, 0.000), Mo at (0.250, 0.250, 0.250) and Pt at (0.000, 0.000, 0.500).